{
  "formula": "Gd3Mg3Zn2Cu",
  "functional": "PBE",
  "state": "relaxed",
  "energy_ev_per_cell": -27.1,
  "lattice_angstrom": [[7.5061, 0.0000, 0.0000], [-3.7530, 6.5005, 0.0000], [0.0000, 0.0000, 4.1803]],
  "species": ["Gd", "Gd", "Gd", "Mg", "Mg", "Mg", "Zn", "Zn", "Cu"],
  "fractional_positions": [[0.0000, 0.4090, 0.0000], [0.4090, 0.0000, 0.0000], [0.5910, 0.5910, 0.0000], [0.0000, 0.7610, 0.5000], [0.2390, 0.2390, 0.5000], [0.7610, 0.0000, 0.5000], [0.3333, 0.6667, 0.5000], [0.6667, 0.3333, 0.5000], [0.0000, 0.0000, 0.0000]]
}